Record 1
DFT (GGA-PBE) results for a relaxed RbAgCl crystal.

Crystal system: trigonal

Geometry as CIF:
```
data_RbAgCl
_chemical_formula_sum 'Rb18 Ag18 Cl18'
_symmetry_space_group_name_H-M 'R -3 m'
_symmetry_Int_Tables_number 166
_symmetry_space_group_name_Hall '-R 3 2"'
_cell_length_a 7.1583
_cell_length_b 7.1583
_cell_length_c 37.2840
_cell_angle_alpha 90.00
_cell_angle_beta 90.00
_cell_angle_gamma 120.00
loop_
_atom_site_label
_atom_site_type_symbol
_atom_site_fract_x
_atom_site_fract_y
_atom_site_fract_z
Rb1 Rb 0.0000 0.0000 0.0499
Rb2 Rb 0.0000 0.0000 0.1694
Rb3 Rb 0.0000 0.0000 0.2590
Ag1 Ag 0.0000 0.0000 0.3846
Ag2 Ag 0.0000 0.0000 0.5000
Ag3 Ag 0.0000 0.5000 0.0000
Cl1 Cl 0.0172 0.5086 0.2220
```

=====

Record 2
DFT (GGA-PBE) results for a relaxed FeSi2Se crystal.

Crystal system: tetragonal

Geometry as CIF:
```
data_FeSi2Se
_chemical_formula_sum 'Fe4 Si8 Se4'
_symmetry_space_group_name_H-M 'I -4 2 d'
_symmetry_Int_Tables_number 122
_symmetry_space_group_name_Hall 'I -4 2bw'
_cell_length_a 5.4961
_cell_length_b 5.4961
_cell_length_c 10.4628
_cell_angle_alpha 90.00
_cell_angle_beta 90.00
_cell_angle_gamma 90.00
loop_
_atom_site_label
_atom_site_type_symbol
_atom_site_fract_x
_atom_site_fract_y
_atom_site_fract_z
Fe1 Fe 0.0000 0.0000 0.0000
Si1 Si 0.2012 0.2500 0.1250
Se1 Se 0.0000 0.0000 0.5000
```

=====

The records above give, respectively, uncorrected formation energy values of -0.7645 0.3081 eV/atom.